Entry from Alexandria: Ca2CrCl after structural relaxation (PBE).

Properties
energy relative to the elements, uncorrected	-0.595	eV per formula unit
E	-4.017	eV per atom
crystal system	tetragonal
offset from the most stable computed form	269.5	meV/atom

Lattice parameters (Å, degrees): 7.0465 7.0465 7.0465 144.58 144.58 50.96
Last column: nearest neighbours and their distance in Å.
Atoms (fractional coordinates):
Cr 0.7500 0.2500 0.5000  4 Ca 3.03
Ca 0.0000 0.0000 0.0000  4 Cl 3.03
Ca 0.2500 0.7500 0.5000  4 Cr 3.03
Cl 0.5000 0.5000 0.0000  4 Ca 3.03



Entry from Alexandria: Ca2CrCl after structural relaxation (PBE).

Properties
energy relative to the elements, uncorrected	-0.974	eV per formula unit
E	-4.112	eV per atom
crystal system	orthorhombic
offset from the most stable computed form	174.8	meV/atom

Lattice parameters (Å, degrees): 4.2928 4.2826 6.3162 90.00 90.00 90.00
Last column: nearest neighbours and their distance in Å.
Atoms (fractional coordinates):
Cr 0.5000 0.5000 0.8634  6 Ca 3.04-3.16
Ca 0.0000 0.0000 0.8995  2 Cl 3.00-3.32, 4 Cr 3.04
Ca 0.5000 0.5000 0.3630  4 Cl 3.03, 2 Cr 3.16
Cl 0.0000 0.0000 0.3741  6 Ca 3.00-3.32



Entry from Alexandria: Ca2CrCl after structural relaxation (PBE).

Properties
energy relative to the elements, uncorrected	-0.910	eV per formula unit
E	-4.096	eV per atom
crystal system	orthorhombic
offset from the most stable computed form	190.8	meV/atom

Lattice parameters (Å, degrees): 6.1778 6.1778 6.1778 143.90 115.87 75.86
Last column: nearest neighbours and their distance in Å.
Atoms (fractional coordinates):
Cr 0.2500 0.7500 0.5000  4 Ca 3.41, 4 Cl 3.80
Ca 0.9605 0.9605 0.0000  2 Cl 2.81
Ca 0.5395 0.5395 0.0000  2 Cl 2.81
Cl 0.7500 0.2500 0.5000  4 Ca 2.81



Entry from Alexandria: Ca2CrCl after structural relaxation (PBE).

Properties
energy relative to the elements, uncorrected	-1.497	eV per formula unit
E	-4.243	eV per atom
crystal system	trigonal
offset from the most stable computed form	44.1	meV/atom

Lattice parameters (Å, degrees): 9.0720 9.0720 9.0720 23.86 23.86 23.86
Last column: nearest neighbours and their distance in Å.
Atoms (fractional coordinates):
Cr 0.7500 0.7500 0.7500  6 Ca 3.15
Ca 0.9967 0.9967 0.9967  3 Cl 3.03, 3 Cr 3.15
Ca 0.5033 0.5033 0.5033  3 Cl 3.03, 3 Cr 3.15
Cl 0.2500 0.2500 0.2500  6 Ca 3.03



Entry from Alexandria: Ca2CrCl after structural relaxation (PBE).

Properties
energy relative to the elements, uncorrected	-0.820	eV per formula unit
E	-4.073	eV per atom
crystal system	tetragonal
offset from the most stable computed form	213.3	meV/atom

Lattice parameters (Å, degrees): 7.9416 7.9416 6.8782 54.74 54.74 90.00
Last column: nearest neighbours and their distance in Å.
Atoms (fractional coordinates):
Cr 0.0000 0.0000 0.0000  4 Ca 3.18
Cr 0.7500 0.2500 0.5000  4 Ca 3.18
Ca 0.5887 0.1250 0.2500  2 Cl 2.79
Ca 0.1613 0.6250 0.2500  2 Cl 2.79
Ca 0.3750 0.4113 0.7500  2 Cl 2.79
Ca 0.8750 0.8387 0.7500  2 Cl 2.79
Cl 0.5000 0.5000 0.0000  4 Ca 2.79
Cl 0.2500 0.7500 0.5000  4 Ca 2.79



Entry from Alexandria: Ca2CrCl after structural relaxation (PBE).

Properties
energy relative to the elements, uncorrected	-0.226	eV per formula unit
E	-3.925	eV per atom
crystal system	cubic
offset from the most stable computed form	361.7	meV/atom

Lattice parameters (Å, degrees): 5.4690 5.4690 5.4690 60.00 60.00 60.00
Last column: nearest neighbours and their distance in Å.
Atoms (fractional coordinates):
Cr 0.5000 0.5000 0.5000  8 Ca 3.35
Ca 0.2500 0.2500 0.2500  4 Cr 3.35, 4 Cl 3.35
Ca 0.7500 0.7500 0.7500  4 Cr 3.35, 4 Cl 3.35
Cl 0.0000 0.0000 0.0000  8 Ca 3.35



Entry from Alexandria: Ca2CrCl after structural relaxation (PBE).

Properties
energy relative to the elements, uncorrected	1.063	eV per formula unit
E	-3.603	eV per atom
crystal system	cubic
offset from the most stable computed form	684.0	meV/atom

Lattice parameters (Å, degrees): 5.5306 5.5306 5.5306 60.00 60.00 60.00
Last column: nearest neighbours and their distance in Å.
Atoms (fractional coordinates):
Cr 0.7500 0.7500 0.7500  4 Cl 3.39, 4 Ca 3.39
Ca 0.0000 0.0000 0.0000  4 Cr 3.39, 4 Ca 3.39
Ca 0.2500 0.2500 0.2500  4 Ca 3.39, 4 Cl 3.39
Cl 0.5000 0.5000 0.5000  4 Cr 3.39, 4 Ca 3.39



Entry from Alexandria: CsCaCrCl6 after structural relaxation (PBE).

Properties
energy relative to the elements, uncorrected	-15.839	eV per formula unit
E	-4.377	eV per atom
crystal system	trigonal

Lattice parameters (Å, degrees): 6.7681 6.7683 7.6935 90.00 90.00 60.00
Last column: nearest neighbours and their distance in Å.
Atoms (fractional coordinates):
Cs 0.0000 0.0000 0.0000  6 Cl 3.51
Ca 0.6666 0.6667 0.5000  6 Cl 2.75
Cr 0.3333 0.3333 0.5000  6 Cl 2.38
Cl 0.0412 0.3494 0.3184  1 Cr 2.38
Cl 0.3493 0.0412 0.6816  1 Cr 2.38
Cl 0.6093 0.3494 0.6816  1 Cr 2.38
Cl 0.0412 0.6094 0.6816  1 Cr 2.38
Cl 0.3493 0.6094 0.3184  1 Cr 2.38
Cl 0.6094 0.0413 0.3184  1 Cr 2.38



Entry from Alexandria: CsCa2CrCl8 after structural relaxation (PBE).

Properties
energy relative to the elements, uncorrected	-21.915	eV per formula unit
E	-4.264	eV per atom
crystal system	triclinic

Lattice parameters (Å, degrees): 6.4911 6.5524 9.1977 76.30 77.84 75.90
Last column: nearest neighbours and their distance in Å.
Atoms (fractional coordinates):
Cs 0.0000 0.0000 0.5000  6 Cl 3.47-3.49
Ca 0.4395 0.4357 0.7440  5 Cl 2.68-2.77
Ca 0.5605 0.5643 0.2560  5 Cl 2.68-2.77
Cr 0.0000 0.0000 0.0000  6 Cl 2.35-2.39
Cl 0.1521 0.7340 0.1969  1 Cr 2.39
Cl 0.7624 0.7816 0.9967  1 Cr 2.35
Cl 0.7433 0.1698 0.1841  1 Cr 2.38
Cl 0.8479 0.2660 0.8031  1 Cr 2.39
Cl 0.2376 0.2184 0.0033  1 Cr 2.35
Cl 0.2567 0.8302 0.8159  1 Cr 2.38
Cl 0.6397 0.6863 0.4934  2 Ca 2.68-2.77
Cl 0.3603 0.3137 0.5066  2 Ca 2.68-2.77



Entry from Alexandria: CaCrIr2Cl after structural relaxation (PBE).

Properties
energy relative to the elements, uncorrected	2.529	eV per formula unit
E	-5.733	eV per atom
crystal system	tetragonal

Lattice parameters (Å, degrees): 4.3957 6.2527 4.3957 90.00 90.00 90.00
Last column: nearest neighbours and their distance in Å.
Atoms (fractional coordinates):
Cr 0.0000 0.0000 0.0000  4 Ir 2.20
Ca 0.0000 0.5000 0.0000  4 Cl 3.11, 2 Cr 3.13
Ir 0.0000 0.0000 0.5000  2 Cr 2.20
Ir 0.5000 0.0000 0.0000  2 Cr 2.20
Cl 0.5000 0.5000 0.5000  4 Ca 3.11



Entry from Alexandria: KCaCrCl6 after structural relaxation (PBE).

Properties
energy relative to the elements, uncorrected	-15.685	eV per formula unit
E	-4.388	eV per atom
crystal system	trigonal

Lattice parameters (Å, degrees): 6.7528 6.7528 13.5340 90.00 90.00 120.00
Last column: nearest neighbours and their distance in Å.
Atoms (fractional coordinates):
K 0.0000 0.0000 0.0000  6 Cl 3.19
K 0.0000 0.0000 0.5000  6 Cl 3.19
Ca 0.3333 0.6667 0.2500  6 Cl 2.75
Ca 0.6667 0.3333 0.7500  6 Cl 2.75
Cr 0.6667 0.3333 0.2500  6 Cl 2.38
Cr 0.3333 0.6667 0.7500  6 Cl 2.38
Cl 0.6527 0.6112 0.1471  1 Cr 2.38
Cl 0.9585 0.3473 0.1471  1 Cr 2.38
Cl 0.3473 0.9585 0.6471  1 Cr 2.38
Cl 0.0415 0.6527 0.8529  1 Cr 2.38
Cl 0.3888 0.3473 0.3529  1 Cr 2.38
Cl 0.9585 0.6112 0.3529  1 Cr 2.38
Cl 0.6112 0.9585 0.8529  1 Cr 2.38
Cl 0.6527 0.0415 0.3529  1 Cr 2.38
Cl 0.0415 0.3888 0.6471  1 Cr 2.38
Cl 0.3888 0.0415 0.1471  1 Cr 2.38
Cl 0.6112 0.6527 0.6471  1 Cr 2.38
Cl 0.3473 0.3888 0.8529  1 Cr 2.38



Entry from Alexandria: KCa2CrCl8 after structural relaxation (PBE).

Properties
energy relative to the elements, uncorrected	-21.960	eV per formula unit
E	-4.288	eV per atom
crystal system	monoclinic

Lattice parameters (Å, degrees): 6.3437 6.1538 8.4920 89.98 89.99 88.98
Last column: nearest neighbours and their distance in Å.
Atoms (fractional coordinates):
K 0.0000 0.0000 0.5000  6 Cl 2.92-3.07
Ca 0.5000 0.4999 0.7543  6 Cl 2.70-2.92
Ca 0.5000 0.5001 0.2457  6 Cl 2.70-2.92
Cr 0.0000 0.0000 0.0000  6 Cl 2.36-2.45
Cl 0.1584 0.7805 0.1966  1 Cr 2.36
Cl 0.6963 0.7597 0.9999  1 Cr 2.45
Cl 0.8414 0.2192 0.1965  1 Cr 2.36
Cl 0.8416 0.2195 0.8034  1 Cr 2.36
Cl 0.3037 0.2403 0.0001  1 Cr 2.45
Cl 0.1586 0.7808 0.8035  1 Cr 2.36
Cl 0.6279 0.7264 0.5000  2 Ca 2.70, 1 K 2.92
Cl 0.3721 0.2736 0.5000  2 Ca 2.70, 1 K 2.92



Entry from Alexandria: CaLaCr2Cl after structural relaxation (PBE).

Properties
energy relative to the elements, uncorrected	3.098	eV per formula unit
E	-4.985	eV per atom
crystal system	tetragonal

Lattice parameters (Å, degrees): 5.5864 4.9757 5.5864 90.00 90.00 90.00
Last column: nearest neighbours and their distance in Å.
Atoms (fractional coordinates):
Cr 0.0000 0.0000 0.5000  2 Ca 2.79
Cr 0.5000 0.0000 0.0000  2 Ca 2.79
Ca 0.0000 0.0000 0.0000  2 Cl 2.49
Cl 0.0000 0.5000 0.0000  2 Ca 2.49
La 0.5000 0.5000 0.5000  8 Cr 3.74, 4 Cl 3.95



Entry from Alexandria: NaCaCrCl6 after structural relaxation (PBE).

Properties
energy relative to the elements, uncorrected	-15.150	eV per formula unit
E	-4.353	eV per atom
crystal system	trigonal

Lattice parameters (Å, degrees): 6.6636 6.6636 12.1452 90.00 90.00 120.00
Last column: nearest neighbours and their distance in Å.
Atoms (fractional coordinates):
Na 0.0000 0.0000 0.0000  6 Cl 2.91
Na 0.0000 0.0000 0.5000  6 Cl 2.91
Ca 0.3333 0.6667 0.2500  6 Cl 2.74
Ca 0.6667 0.3333 0.7500  6 Cl 2.74
Cr 0.6667 0.3333 0.2500  6 Cl 2.38
Cr 0.3333 0.6667 0.7500  6 Cl 2.38
Cl 0.6624 0.6206 0.1358  1 Cr 2.38
Cl 0.9581 0.3376 0.1358  1 Cr 2.38
Cl 0.3376 0.9581 0.6358  1 Cr 2.38
Cl 0.0419 0.6624 0.8642  1 Cr 2.38
Cl 0.3794 0.3376 0.3642  1 Cr 2.38
Cl 0.9581 0.6206 0.3642  1 Cr 2.38
Cl 0.6206 0.9581 0.8642  1 Cr 2.38
Cl 0.6624 0.0419 0.3642  1 Cr 2.38
Cl 0.0419 0.3794 0.6358  1 Cr 2.38
Cl 0.3794 0.0419 0.1358  1 Cr 2.38
Cl 0.6206 0.6624 0.6358  1 Cr 2.38
Cl 0.3376 0.3794 0.8642  1 Cr 2.38